DFT (PBE-GGA) results for a relaxed Tl4Au3 crystal.

Cell lengths 4.174, 12.311, 12.311 Å; angles 120.00, 90.00, 90.00 degrees
Fractional positions:
Tl 0.757 0.772 0.997
Tl 0.757 0.003 0.775
Tl 0.757 0.225 0.228
Tl 0.243 0.228 0.003
Tl 0.243 0.997 0.225
Tl 0.243 0.775 0.772
Tl 0.744 0.619 0.488
Tl 0.744 0.512 0.131
Tl 0.744 0.869 0.381
Tl 0.256 0.381 0.512
Tl 0.256 0.488 0.869
Tl 0.256 0.131 0.619
Au 0.759 0.333 0.667
Au 0.241 0.667 0.333
Au 0.745 0.283 0.866
Au 0.745 0.134 0.417
Au 0.745 0.583 0.717
Au 0.255 0.717 0.134
Au 0.255 0.866 0.583
Au 0.255 0.417 0.283
Au 0.500 0.000 0.000

Its space group is P-3, No. 147. The calculation puts the density of states at the Fermi level at 5.6 states/eV/cell. The polymorph energy (0 for the lowest one) is 0.00 eV per formula unit. The value obtained for the formation energy is -0.04 eV per atom. The total energy is -2.792 eV per atom.